Computed, not measured: a geometry-optimized CaNiSe2 structure at the PBE level of DFT.

abc: 5.230 5.230 5.230
angles: 138.39 114.05 81.07
Positions (direct):
1 Se 0.434 0.434 0.000
2 Se 0.066 0.066 0.000
3 Ca 0.750 0.250 0.500
4 Ni 0.250 0.750 0.500

Density, g cm⁻³: 5.069
Total DFT energy (no corrections), eV/atom: -4.513
V, Å³ per cell: 84.1
Formation energy (no corrections), eV/atom: -0.825